1.
Below is a relaxed FeSe5 crystal, with properties calculated at the PBE-GGA level.

Properties
The value obtained for the density of states at the Fermi level is 2.3 states/eV/f.u. For the formation energy from raw total energies, the calculation gives 2.0 kcal/mol of atoms.

```
data_FeSe5
_cell_length_a 15.024
_cell_length_b 3.217
_cell_length_c 6.993
_cell_angle_alpha 90.00
_cell_angle_beta 103.46
_cell_angle_gamma 90.00
_space_group_name_H-M_alt 'C 1 m 1'
_space_group_IT_number 8
_space_group_name_Hall 'C -2y'
loop_
_atom_site_label
_atom_site_fract_x
_atom_site_fract_y
_atom_site_fract_z
_atom_site_occupancy
Fe1 0.000 0.000 0.000 1
Se1 0.057 0.500 0.251 1
Se2 0.086 0.500 0.872 1
Se3 0.272 0.000 0.680 1
Se4 0.369 0.000 0.992 1
Se5 0.477 0.500 0.642 1
```

***

2.
Below is a relaxed FeSe2 crystal, with properties calculated at the PBE-GGA level.

Properties
The value obtained for the density of states at the Fermi level is 0.3 states/eV/f.u. For the formation energy from raw total energies, the calculation gives -6.9 kcal/mol of atoms.

```
data_FeSe2
_cell_length_a 5.572
_cell_length_b 3.402
_cell_length_c 12.593
_cell_angle_alpha 90.00
_cell_angle_beta 90.00
_cell_angle_gamma 90.00
_space_group_name_H-M_alt 'P n m a'
_space_group_IT_number 62
_space_group_name_Hall '-P 2ac 2n'
loop_
_atom_site_label
_atom_site_fract_x
_atom_site_fract_y
_atom_site_fract_z
_atom_site_occupancy
Fe1 0.198 0.250 0.002 1
Se1 0.088 0.250 0.406 1
Se2 0.090 0.750 0.126 1
```

***

3.
Below is a relaxed Fe5Se crystal, with properties calculated at the PBE-GGA level.

Properties
The value obtained for the density of states at the Fermi level is 6.6 states/eV/f.u. As for the excess energy over the best structure of this formula in the dataset: 0.000 eV/atom. For the formation energy from raw total energies, the calculation gives 2.9 kcal/mol of atoms.

```
data_Fe5Se
_cell_length_a 2.956
_cell_length_b 2.956
_cell_length_c 8.384
_cell_angle_alpha 90.00
_cell_angle_beta 90.00
_cell_angle_gamma 90.00
_space_group_name_H-M_alt 'P 4/m m m'
_space_group_IT_number 123
_space_group_name_Hall '-P 4 2'
loop_
_atom_site_label
_atom_site_fract_x
_atom_site_fract_y
_atom_site_fract_z
_atom_site_occupancy
Fe1 0.000 0.000 0.000 1
Fe2 0.000 0.000 0.328 1
Fe3 0.500 0.500 0.164 1
Se1 0.500 0.500 0.500 1
```